Entry from the Alexandria database: an optimized crystal structure of MgCd2Sn2Pd5 (PBE).

Cell: 10.4786 10.4786 3.4125 Å, 90.00 90.00 90.00°
Last column: nearest neighbours and their distance in Å.
Space group P4/mbm (No. 127)
Symmetry-distinct sites (fractional):
Mg 0.0000 0.0000 0.0000  8 Pd 2.73
Cd 0.1587 0.3413 0.0000  1 Sn 2.82, 6 Pd 2.84-2.91
Sn 0.1508 0.6508 0.0000  6 Pd 2.73-2.81, 1 Cd 2.82
Pd 0.0000 0.5000 0.5000  4 Sn 2.81, 4 Cd 2.91, 4 Pd 3.11
Pd 0.0083 0.7966 0.5000  2 Mg 2.73, 2 Sn 2.73, 2 Cd 2.84, 2 Pd 3.02

Results
Total magnetization   0.00 μB per formula unit
Electronic total energy   -41.2 eV per formula unit
Formation energy   -378 meV per atom

=====

Entry from the Alexandria database: an optimized crystal structure of Mg3In4Pd2 (PBE).

Cell: 14.3312 4.3293 7.0269 Å, 90.00 116.17 90.00°
Last column: nearest neighbours and their distance in Å.
Space group C2/m (No. 12)
Symmetry-distinct sites (fractional):
Mg 0.0000 0.0000 0.0000  4 Pd 2.75, 2 Mg 3.03, 2 In 3.03
Mg 0.1008 0.0000 0.7008  2 Pd 2.85, 2 Mg 3.02-3.03, 5 In 3.03-3.19
In 0.0931 0.5000 0.3607  2 Pd 2.84-2.85, 1 In 3.00, 2 Mg 3.15
In 0.2356 0.0000 0.1949  3 Pd 2.80-2.91, 1 In 3.00, 3 Mg 3.03
Pd 0.1118 0.5000 0.9739  4 Mg 2.75-2.85, 5 In 2.80-2.91

Results
Total magnetization   0.00 μB per formula unit
Electronic total energy   -28.9 eV per formula unit
Formation energy   -308 meV per atom

=====

Entry from the Alexandria database: an optimized crystal structure of HfMg2Zr4 (PBE).

Cell: 3.1267 33.6573 3.1240 Å, 90.00 90.00 90.00°
Last column: nearest neighbours and their distance in Å.
Space group Cmmm (No. 65)
Symmetry-distinct sites (fractional):
Hf 0.0000 0.0000 0.0000  4 Hf 3.12-3.13, 8 Zr 3.17
Mg 0.0000 0.2912 0.5000  6 Mg 3.12-3.19, 4 Zr 3.29
Zr 0.0000 0.1362 0.0000  8 Zr 3.12-3.19, 4 Mg 3.29
Zr 0.0000 0.4323 0.5000  8 Zr 3.12-3.19, 4 Hf 3.17

Results
Total magnetization   0.00 μB per formula unit
Electronic total energy   -47.0 eV per formula unit
Formation energy   49 meV per atom

=====

Entry from the Alexandria database: an optimized crystal structure of TaPdBr2 (PBE).

Cell: 6.5430 6.5430 9.5494 Å, 90.00 90.00 90.00°
Last column: nearest neighbours and their distance in Å.
Space group I-42d (No. 122)
Symmetry-distinct sites (fractional):
Ta 0.0000 0.0000 0.0000  4 Br 2.59
Pd 0.0000 0.0000 0.5000  4 Br 2.62
Br 0.2464 0.2500 0.1250  2 Ta 2.59, 2 Pd 2.62

Results
Excess energy over the best structure of this formula in the dataset   611 meV per atom
Total magnetization   2.63 μB per formula unit
Electronic total energy   -17.8 eV per formula unit
Formation energy without anion corrections   0.650 eV per atom

=====

Entry from the Alexandria database: an optimized crystal structure of Ba2AgHg (PBE).

Cell: 7.9683 7.9683 7.9683 Å, 90.00 90.00 90.00°
Last column: nearest neighbours and their distance in Å.
Space group F-43m (No. 216)
Symmetry-distinct sites (fractional):
Ba 0.0000 0.0000 0.0000  4 Hg 3.45, 4 Ba 3.45
Ba 0.2500 0.2500 0.2500  4 Ba 3.45, 4 Ag 3.45
Ag 0.0000 0.0000 0.5000  4 Ba 3.45, 4 Hg 3.45
Hg 0.2500 0.2500 0.7500  4 Ag 3.45, 4 Ba 3.45

Results
Total magnetization   0.00 μB per formula unit
Electronic total energy   -7.7 eV per formula unit
Formation energy   -170 meV per atom

=====

Entry from the Alexandria database: an optimized crystal structure of Lu2ReC2 (PBE).

Cell: 6.4741 4.9839 9.6599 Å, 90.00 90.00 90.00°
Last column: nearest neighbours and their distance in Å.
Space group Pnma (No. 62)
Symmetry-distinct sites (fractional):
Lu 0.0361 0.2500 0.2174  4 C 2.45-2.57
Lu 0.1751 0.2500 0.5580  5 C 2.44-2.50
Re 0.2141 0.2500 0.8709  3 C 1.94-2.04
C 0.0536 0.7500 0.2409  2 Re 1.96-2.04
C 0.1712 0.7500 0.5562  1 Re 1.94

Results
Total magnetization   0.00 μB per formula unit
Electronic total energy   -42.3 eV per formula unit
Formation energy   -475 meV per atom

=====

Entry from the Alexandria database: an optimized crystal structure of Li12Sb3I5 (PBE).

Cell: 16.2725 16.2725 16.2725 Å, 90.00 90.00 90.00°
Last column: nearest neighbours and their distance in Å.
Space group Ia-3d (No. 230)
Symmetry-distinct sites (fractional):
Li 0.0122 0.0794 0.6538  2 I 2.74-2.82, 2 Sb 2.82-3.02, 1 Li 2.90
Sb 0.0000 0.2500 0.1250  8 Li 2.82-3.02
I 0.0000 0.0000 0.0000  6 Li 2.82
I 0.0000 0.2500 0.3750  4 Li 2.74

Results
Total magnetization   0.00 μB per formula unit
Electronic total energy   -58.2 eV per formula unit
Formation energy without anion corrections   -0.756 eV per atom

=====

Entry from the Alexandria database: an optimized crystal structure of CoW2Au (PBE).

Cell: 3.6972 4.0548 8.0979 Å, 90.00 90.00 90.00°
Last column: nearest neighbours and their distance in Å.
Space group Cmm2 (No. 35)
Symmetry-distinct sites (fractional):
Co 0.0000 0.0000 0.0000  4 W 2.49-2.62, 2 Au 2.74, 4 Co 2.74
W 0.0000 0.0000 0.4799  8 W 2.74-3.01, 4 Au 2.87-2.99
W 0.0000 0.5000 0.2057  4 Co 2.49-2.62, 4 W 2.74
Au 0.0000 0.5000 0.7510  4 Co 2.74-2.86, 4 Au 2.74, 4 W 2.87-2.99

Results
Excess energy over the best structure of this formula in the dataset   0 meV per atom
Total magnetization   0.46 μB per formula unit
Electronic total energy   -35.3 eV per formula unit
Formation energy   244 meV per atom

=====

Number 1: density of states at the Fermi level 5.26 states/eV per cell. Number 2: density of states at the Fermi level 7.61 states/eV per cell. Number 3: density of states at the Fermi level 15.88 states/eV per cell. Number 4: density of states at the Fermi level 14.50 states/eV per cell. Number 5: density of states at the Fermi level 12.40 states/eV per cell. Number 6: density of states at the Fermi level 9.36 states/eV per cell. Number 7: density of states at the Fermi level 58.50 states/eV per cell. Number 8: density of states at the Fermi level 7.43 states/eV per cell.